[1]
A geometry-optimized CuBiS2N structure, computed with GGA-PBE.

Space-group type = No. 123
E = -3.518 eV per atom
Polymorph energy (0 for the lowest one) = 380 kJ/mol of formula units
Magnetization = 0.0 Bohr magnetons per cell
Formation energy without anion corrections = 1393.3 meV/atom

Cell and atoms, written as CIF:
```
data_CuBiS2N
_space_group_name_H-M_alt 'P 1'
_space_group_IT_number 1
_cell_length_a 5.2090
_cell_length_b 5.2090
_cell_length_c 4.2293
_cell_angle_alpha 90.00
_cell_angle_beta 90.00
_cell_angle_gamma 90.00
loop_
_space_group_symop_operation_xyz
'x,y,z'
loop_
_atom_site_label
_atom_site_type_symbol
_atom_site_fract_x
_atom_site_fract_y
_atom_site_fract_z
S1 S 0.5000 0.0000 0.0000
S2 S 0.0000 0.5000 0.0000
Cu1 Cu 0.5000 0.5000 0.5000
Bi1 Bi 0.0000 0.0000 0.0000
N1 N 0.0000 0.0000 0.5000
```

=====

[2]
A geometry-optimized SrBi2F structure, computed with GGA-PBE.

Space-group type = No. 122
E = -3.600 eV per atom
Polymorph energy (0 for the lowest one) = 0 kJ/mol of formula units
Magnetization = 0.0 Bohr magnetons per cell
Formation energy without anion corrections = -771.0 meV/atom

Cell and atoms, written as CIF:
```
data_SrBi2F
_space_group_name_H-M_alt 'P 1'
_space_group_IT_number 1
_cell_length_a 5.9549
_cell_length_b 5.9549
_cell_length_c 9.1002
_cell_angle_alpha 70.90
_cell_angle_beta 70.90
_cell_angle_gamma 90.00
loop_
_space_group_symop_operation_xyz
'x,y,z'
loop_
_atom_site_label
_atom_site_type_symbol
_atom_site_fract_x
_atom_site_fract_y
_atom_site_fract_z
Sr1 Sr 0.7500 0.2500 0.5000
Sr2 Sr 0.0000 0.0000 0.0000
F1 F 0.2500 0.7500 0.5000
F2 F 0.5000 0.5000 0.0000
Bi1 Bi 0.3750 0.5516 0.7500
Bi2 Bi 0.4484 0.1250 0.2500
Bi3 Bi 0.3016 0.6250 0.2500
Bi4 Bi 0.8750 0.6984 0.7500
```

=====

[3]
A geometry-optimized GdTiHg2 structure, computed with GGA-PBE.

Space-group type = No. 123
Formation energy = -0.193 eV per atom
E = -5.838 eV per atom
Polymorph energy (0 for the lowest one) = 0 kJ/mol of formula units
Magnetization = 8.3 Bohr magnetons per cell

Cell and atoms, written as CIF:
```
data_GdTiHg2
_space_group_name_H-M_alt 'P 1'
_space_group_IT_number 1
_cell_length_a 3.5042
_cell_length_b 3.5042
_cell_length_c 7.3269
_cell_angle_alpha 90.00
_cell_angle_beta 90.00
_cell_angle_gamma 90.00
loop_
_space_group_symop_operation_xyz
'x,y,z'
loop_
_atom_site_label
_atom_site_type_symbol
_atom_site_fract_x
_atom_site_fract_y
_atom_site_fract_z
Gd1 Gd 0.5000 0.5000 0.5000
Ti1 Ti 0.5000 0.5000 0.0000
Hg1 Hg 0.0000 0.0000 0.2166
Hg2 Hg 0.0000 0.0000 0.7834
```

=====

[4]
A geometry-optimized BeMoIr structure, computed with GGA-PBE.

Space-group type = No. 62
Formation energy = -0.337 eV per atom
E = -8.143 eV per atom
Polymorph energy (0 for the lowest one) = 5 kJ/mol of formula units
Magnetization = 0.0 Bohr magnetons per cell

Cell and atoms, written as CIF:
```
data_BeMoIr
_space_group_name_H-M_alt 'P 1'
_space_group_IT_number 1
_cell_length_a 2.9716
_cell_length_b 7.6806
_cell_length_c 6.7382
_cell_angle_alpha 90.00
_cell_angle_beta 90.00
_cell_angle_gamma 90.00
loop_
_space_group_symop_operation_xyz
'x,y,z'
loop_
_atom_site_label
_atom_site_type_symbol
_atom_site_fract_x
_atom_site_fract_y
_atom_site_fract_z
Be1 Be 0.7500 0.8654 0.7919
Be2 Be 0.2500 0.3654 0.7081
Be3 Be 0.7500 0.6346 0.2919
Be4 Be 0.2500 0.1346 0.2081
Ir1 Ir 0.7500 0.9090 0.1532
Ir2 Ir 0.2500 0.0910 0.8468
Ir3 Ir 0.7500 0.5910 0.6532
Ir4 Ir 0.2500 0.4090 0.3468
Mo1 Mo 0.2500 0.8566 0.4793
Mo2 Mo 0.7500 0.3566 0.0207
Mo3 Mo 0.7500 0.1434 0.5207
Mo4 Mo 0.2500 0.6434 0.9793
```

=====

[5]
A geometry-optimized LiPrPb5 structure, computed with GGA-PBE.

Space-group type = No. 123
Formation energy = -0.240 eV per atom
E = -3.845 eV per atom
Magnetization = 0.0 Bohr magnetons per cell

Cell and atoms, written as CIF:
```
data_LiPrPb5
_space_group_name_H-M_alt 'P 1'
_space_group_IT_number 1
_cell_length_a 4.7803
_cell_length_b 4.7803
_cell_length_c 8.9166
_cell_angle_alpha 90.00
_cell_angle_beta 90.00
_cell_angle_gamma 90.00
loop_
_space_group_symop_operation_xyz
'x,y,z'
loop_
_atom_site_label
_atom_site_type_symbol
_atom_site_fract_x
_atom_site_fract_y
_atom_site_fract_z
Pb1 Pb 0.5000 0.0000 0.7950
Pb2 Pb 0.0000 0.5000 0.2050
Pb3 Pb 0.5000 0.0000 0.2050
Pb4 Pb 0.0000 0.5000 0.7950
Pb5 Pb 0.5000 0.5000 0.5000
Li1 Li 0.5000 0.5000 0.0000
Pr1 Pr 0.0000 0.0000 0.5000
```

=====

[6]
A geometry-optimized ZnAgOs2 structure, computed with GGA-PBE.

Space-group type = No. 119
Formation energy = 0.546 eV per atom
E = -6.100 eV per atom
Magnetization = 0.0 Bohr magnetons per cell

Cell and atoms, written as CIF:
```
data_ZnAgOs2
_space_group_name_H-M_alt 'P 1'
_space_group_IT_number 1
_cell_length_a 4.6082
_cell_length_b 4.6082
_cell_length_c 4.6082
_cell_angle_alpha 127.58
_cell_angle_beta 127.58
_cell_angle_gamma 77.31
loop_
_space_group_symop_operation_xyz
'x,y,z'
loop_
_atom_site_label
_atom_site_type_symbol
_atom_site_fract_x
_atom_site_fract_y
_atom_site_fract_z
Os1 Os 0.2500 0.7500 0.5000
Os2 Os 0.0000 0.0000 0.0000
Ag1 Ag 0.7500 0.2500 0.5000
Zn1 Zn 0.5000 0.5000 0.0000
```